No. 1
GdMgAs2 | GGA-PBE | relaxed

Density, g cm⁻³: 5.84
Energy above the most stable polymorph in this dataset, eV/atom: 0.000
Total moment, μB/f.u.: 6.68
ΔE_f, kJ/mol of formula units: -328
DFT total energy, eV for the cell shown: -28.4

POSCAR file:
```
GdMgAs2
1.0
2.085 1.204 6.256
-2.085 1.204 6.256
0.000 -2.407 6.256
Gd Mg As
1 1 2
direct
0.000 0.000 0.000
0.500 0.500 0.500
0.246 0.246 0.246
0.754 0.754 0.754
```

=====

No. 2
Ti11H7O24 | GGA-PBE | relaxed

Density, g cm⁻³: 3.49
Total moment, μB/f.u.: 3.15
DFT total energy, eV for the cell shown: -331.9

POSCAR file:
```
Ti11H7O24
1.0
9.712 0.000 0.000
0.000 3.006 0.000
-0.093 0.000 14.974
Ti H O
11 7 24
direct
0.000 0.000 0.000
0.001 0.000 0.326
0.210 0.500 0.826
0.213 0.500 0.503
0.222 0.500 0.164
0.487 0.000 0.133
0.508 0.000 0.797
0.527 0.000 0.468
0.706 0.500 0.971
0.717 0.500 0.290
0.987 0.000 0.657
0.321 0.000 0.960
0.364 0.000 0.617
0.367 0.500 0.348
0.779 0.500 0.709
0.828 0.000 0.842
0.856 0.500 0.453
0.964 0.000 0.504
0.085 0.500 0.930
0.092 0.500 0.266
0.112 0.500 0.607
0.121 0.000 0.437
0.127 0.000 0.767
0.128 0.000 0.096
0.315 0.000 0.895
0.328 0.000 0.218
0.346 0.000 0.553
0.381 0.500 0.758
0.385 0.500 0.079
0.386 0.500 0.413
0.581 0.500 0.878
0.584 0.500 0.200
0.596 0.500 0.521
0.628 0.000 0.361
0.630 0.000 0.038
0.633 0.000 0.721
0.822 0.000 0.907
0.832 0.000 0.251
0.882 0.500 0.715
0.883 0.500 0.389
0.889 0.500 0.042
0.891 0.000 0.550
```

=====

No. 3
AcMg2Hg | GGA-PBE | relaxed

Density, g cm⁻³: 6.70
Energy above the most stable polymorph in this dataset, eV/atom: 0.122
Total moment, μB/f.u.: 0.00
ΔE_f, kJ/mol of formula units: -57
DFT total energy, eV for the cell shown: -8.2

POSCAR file:
```
AcMg2Hg
1.0
4.720 0.000 0.000
0.000 4.720 0.000
0.000 0.000 5.298
Ac Mg Hg
1 2 1
direct
0.000 0.000 0.000
0.000 0.500 0.500
0.500 0.000 0.500
0.500 0.500 0.000
```

=====

No. 4
SiTcAs | GGA-PBE | relaxed

Density, g cm⁻³: 6.49
Energy above the most stable polymorph in this dataset, eV/atom: 0.047
Raw formation energy, eV per atom: -0.0882
Total moment, μB/f.u.: 0.00
DFT total energy, eV for the cell shown: -41.4

POSCAR file:
```
SiTcAs
1.0
3.139 0.000 0.000
-1.569 2.718 0.000
0.000 0.000 12.059
Si Tc As
2 2 2
direct
0.000 0.000 0.000
0.000 0.000 0.500
0.333 0.667 0.137
0.333 0.667 0.863
0.000 0.000 0.281
0.000 0.000 0.719
```

=====

No. 5
TlAgSnS2 | GGA-PBE | relaxed

Density, g cm⁻³: 5.80
Raw formation energy, eV per atom: -0.2351
Total moment, μB/f.u.: 0.00
DFT total energy, eV for the cell shown: -37.3

POSCAR file:
```
TlAgSnS2
1.0
7.183 0.000 0.000
0.000 5.495 0.000
-3.184 0.000 7.184
Tl Ag Sn S
2 2 2 4
direct
0.000 0.233 0.250
0.000 0.767 0.750
0.500 0.000 0.000
0.500 0.000 0.500
0.500 0.410 0.750
0.500 0.590 0.250
0.255 0.308 0.998
0.255 0.692 0.498
0.745 0.308 0.502
0.745 0.692 0.002
```

=====

No. 6
SrTcAu2 | GGA-PBE | relaxed

Density, g cm⁻³: 9.71
Energy above the most stable polymorph in this dataset, eV/atom: 0.000
Total moment, μB/f.u.: 1.92
ΔE_f, kJ/mol of formula units: 14
DFT total energy, eV for the cell shown: -18.5

POSCAR file:
```
SrTcAu2
1.0
2.314 1.336 5.346
-2.314 1.336 5.346
0.000 -2.672 5.346
Sr Tc Au
1 1 2
direct
0.000 0.000 0.000
0.500 0.500 0.500
0.199 0.199 0.199
0.801 0.801 0.801
```

=====

No. 7
Ba2GaBiAs | GGA-PBE | relaxed

Density, g cm⁻³: 5.58
Total moment, μB/f.u.: 0.00
ΔE_f, kJ/mol of formula units: -387
DFT total energy, eV for the cell shown: -38.8

POSCAR file:
```
Ba2GaBiAs
1.0
7.853 0.000 0.000
0.000 4.806 0.000
-3.095 0.000 9.912
Ba Ga Bi As
4 2 2 2
direct
0.214 0.250 0.397
0.247 0.250 0.981
0.753 0.750 0.019
0.786 0.750 0.603
0.485 0.750 0.275
0.515 0.250 0.725
0.316 0.750 0.703
0.684 0.250 0.297
0.167 0.750 0.170
0.833 0.250 0.830
```

=====

No. 8
V5Re4Mo2 | GGA-PBE | relaxed

Density, g cm⁻³: 12.16
Total moment, μB/f.u.: 0.00
ΔE_f, kJ/mol of formula units: 18
DFT total energy, eV for the cell shown: -233.7

POSCAR file:
```
V5Re4Mo2
1.0
6.738 0.000 0.000
0.000 15.982 0.000
0.000 0.000 3.022
V Re Mo
10 8 4
direct
0.000 0.000 0.000
0.103 0.415 0.000
0.203 0.170 0.000
0.297 0.670 0.000
0.397 0.915 0.000
0.500 0.500 0.000
0.603 0.085 0.000
0.703 0.330 0.000
0.797 0.830 0.000
0.897 0.585 0.000
0.096 0.872 0.500
0.197 0.543 0.500
0.303 0.043 0.500
0.404 0.372 0.500
0.596 0.628 0.500
0.697 0.957 0.500
0.803 0.457 0.500
0.904 0.128 0.500
0.005 0.284 0.500
0.495 0.784 0.500
0.505 0.216 0.500
0.995 0.716 0.500
```

=====

No. 9
NaLi2Np3S8 | GGA-PBE | relaxed

Density, g cm⁻³: 4.80
Raw formation energy, eV per atom: -1.2378
Total moment, μB/f.u.: 8.00
DFT total energy, eV for the cell shown: -94.3

POSCAR file:
```
NaLi2Np3S8
1.0
4.035 2.330 6.155
-4.035 2.330 6.155
0.000 -4.659 6.155
Na Li Np S
1 2 3 8
direct
0.000 0.000 0.000
0.224 0.224 0.224
0.607 0.607 0.607
0.109 0.608 0.608
0.608 0.109 0.608
0.608 0.608 0.109
0.361 0.361 0.829
0.361 0.829 0.361
0.365 0.365 0.365
0.406 0.844 0.844
0.829 0.361 0.361
0.844 0.406 0.844
0.844 0.844 0.406
0.849 0.849 0.849
```

=====

No. 10
MgH6Rh2 | GGA-PBE | relaxed

Density, g cm⁻³: 5.48
Total moment, μB/f.u.: 0.00
DFT total energy, eV for the cell shown: -111.9

POSCAR file:
```
MgH6Rh2
1.0
7.860 0.000 0.000
-3.930 6.807 0.000
0.000 0.000 4.015
Mg H Rh
3 18 6
direct
0.000 0.000 0.000
0.333 0.667 0.475
0.667 0.333 0.525
0.091 0.527 0.766
0.102 0.854 0.724
0.146 0.248 0.724
0.194 0.416 0.212
0.222 0.806 0.212
0.248 0.146 0.276
0.416 0.194 0.788
0.436 0.909 0.766
0.473 0.564 0.766
0.527 0.091 0.234
0.564 0.473 0.234
0.584 0.778 0.212
0.752 0.898 0.724
0.778 0.584 0.788
0.806 0.222 0.788
0.854 0.102 0.276
0.898 0.752 0.276
0.909 0.436 0.234
0.000 0.326 0.500
0.000 0.659 0.000
0.326 0.000 0.500
0.341 0.341 0.000
0.659 0.000 0.000
0.674 0.674 0.500
```

=====

No. 11
LaCdNiHg2 | GGA-PBE | relaxed

Density, g cm⁻³: 8.94
Total moment, μB/f.u.: 0.00
ΔE_f, kJ/mol of formula units: -95
DFT total energy, eV for the cell shown: -13.2

POSCAR file:
```
LaCdNiHg2
1.0
5.136 0.000 0.000
0.000 5.136 0.000
0.000 0.000 5.006
La Cd Ni Hg
1 1 1 2
direct
0.000 0.000 0.000
0.500 0.500 0.000
0.000 0.000 0.500
0.000 0.500 0.500
0.500 0.000 0.500
```

=====

No. 12
Mn2CdSiP | GGA-PBE | relaxed

Density, g cm⁻³: 3.89
Raw formation energy, eV per atom: 1.4332
Total moment, μB/f.u.: 7.94
DFT total energy, eV for the cell shown: -22.9

POSCAR file:
```
Mn2CdSiP
1.0
5.014 0.000 0.000
0.000 5.014 0.000
0.000 0.000 4.771
Mn Cd Si P
2 1 1 1
direct
0.000 0.500 0.000
0.500 0.000 0.000
0.000 0.000 0.000
0.500 0.500 0.500
0.000 0.000 0.500
```